Below is a relaxed structure of Si2MoP, with properties calculated at the PBE-GGA level.

Results
M_tot ... 0.00 μB/cell
Final energy ... -6.682 eV per atom
Formation energy without anion corrections ... 0.36 eV per formula unit
SG ... R-3m (166)

Cell: 7.178 7.178 7.178 Å, 25.08 25.08 25.08°
Fractional coordinates of all 4 atoms:
Si1 0.245 0.245 0.245
Si2 0.755 0.755 0.755
Mo1 0.000 0.000 0.000
P1 0.500 0.500 0.500